Entry 1:
Computed, not measured: an optimized crystal structure of Ni2SeBr at the PBE level of DFT.

Cell: 6.837 6.842 3.231 Å, 90.00 90.44 90.00°
Fractional positions:
Ni  0.250  0.250  0.000
Ni  0.250  0.750  0.000
Ni  0.750  0.250  0.000
Ni  0.750  0.750  0.000
Se  0.000  0.000  0.000
Se  0.500  0.500  0.000
Br  0.000  0.500  0.000
Br  0.500  0.000  0.000

Output
**DFT total energy**: -31.34 eV per cell
**Uncorrected formation energy**: 262 meV per atom
**Offset from the most stable computed form**: 403 meV/atom

Entry 2:
Computed, not measured: an optimized crystal structure of Ac2Pm5PrSm at the PBE level of DFT.

Cell: 10.741 10.741 11.039 Å, 90.00 90.00 148.21°
Fractional positions:
Ac  0.114  0.886  0.500
Ac  0.118  0.882  0.092
Ac  0.882  0.118  0.592
Ac  0.886  0.114  0.000
Pm  0.019  0.981  0.795
Pm  0.283  0.717  0.079
Pm  0.296  0.704  0.474
Pm  0.393  0.607  0.792
Pm  0.480  0.520  0.510
Pm  0.520  0.480  0.010
Pm  0.607  0.393  0.292
Pm  0.704  0.296  0.974
Pm  0.717  0.283  0.579
Pm  0.981  0.019  0.295
Pr  0.413  0.587  0.231
Pr  0.587  0.413  0.731
Sm  0.208  0.792  0.779
Sm  0.792  0.208  0.279

Output
**DFT total energy**: -80.49 eV per cell
**Calculated formation energy**: 136 meV/atom

Entry 3:
Computed, not measured: an optimized crystal structure of TaInPb2 at the PBE level of DFT.

Cell: 3.238 3.238 34.357 Å, 90.00 90.00 120.00°
Fractional positions:
Ta  0.000  0.000  0.000
Ta  0.333  0.667  0.667
Ta  0.667  0.333  0.333
In  0.000  0.000  0.500
In  0.333  0.667  0.167
In  0.667  0.333  0.833
Pb  0.000  0.000  0.259
Pb  0.000  0.000  0.741
Pb  0.333  0.667  0.408
Pb  0.333  0.667  0.926
Pb  0.667  0.333  0.074
Pb  0.667  0.333  0.592

Output
**DFT total energy**: -61.45 eV per cell
**Calculated formation energy**: 381 meV/atom

Entry 4:
Computed, not measured: an optimized crystal structure of YThPd2 at the PBE level of DFT.

Cell: 4.073 4.073 21.275 Å, 90.00 90.00 120.00°
Fractional positions:
Y  0.000  0.000  0.000
Y  0.333  0.667  0.667
Y  0.667  0.333  0.333
Th  0.000  0.000  0.172
Th  0.333  0.667  0.839
Th  0.667  0.333  0.505
Pd  0.000  0.000  0.587
Pd  0.000  0.000  0.753
Pd  0.333  0.667  0.254
Pd  0.333  0.667  0.420
Pd  0.667  0.333  0.086
Pd  0.667  0.333  0.920

Output
**DFT total energy**: -81.13 eV per cell
**Calculated formation energy**: -694 meV/atom
**Offset from the most stable computed form**: 150 meV/atom